Entry 1:
This record from Alexandria describes a geometry-optimized NbAlOs3 structure. The functional is GGA-PBE.

M_tot = 0.0 Bohr magnetons per cell
energy relative to the lowest polymorph listed for this composition = 1044 meV/atom
SG = Pm-3m (221)
theoretical density = 10.8 g/cm³

```
NbAlOs3
1.0
4.7298 0.0000 0.0000
0.0000 4.7298 0.0000
0.0000 0.0000 4.7298
Nb Al Os
1 1 3
Direct
0.0000 0.0000 0.0000
0.5000 0.5000 0.5000
0.0000 0.0000 0.5000
0.0000 0.5000 0.0000
0.5000 0.0000 0.0000
```


Entry 2:
This record from Alexandria describes a geometry-optimized NbAlOs structure. The functional is GGA-PBE.

M_tot = 0.0 Bohr magnetons per cell
SG = I4mm (107)
theoretical density = 11.0 g/cm³

```
NbAlOs
1.0
-1.5521 1.5521 4.8713
1.5521 -1.5521 4.8713
1.5521 1.5521 -4.8713
Nb Al Os
1 1 1
Direct
0.0000 0.0000 0.0000
0.3123 0.3123 0.0000
0.6606 0.6606 0.0000
```


Entry 3:
This record from Alexandria describes a geometry-optimized NbAl2Os structure. The functional is GGA-PBE.

M_tot = 0.0 Bohr magnetons per cell
energy relative to the lowest polymorph listed for this composition = 535 meV/atom
SG = I-42d (122)
theoretical density = 8.2 g/cm³

```
NbAl2Os
1.0
-1.8989 1.8989 9.5160
1.8989 -1.8989 9.5160
1.8989 1.8989 -9.5160
Nb Al Os
2 4 2
Direct
0.0000 0.0000 0.0000
0.7500 0.2500 0.5000
0.1257 0.6250 0.0007
0.3750 0.3757 0.5007
0.6243 0.1250 0.9993
0.8750 0.8743 0.4993
0.2500 0.7500 0.5000
0.5000 0.5000 0.0000
```


Entry 4:
This record from Alexandria describes a geometry-optimized NbAl2Os structure. The functional is GGA-PBE.

M_tot = 0.0 Bohr magnetons per cell
energy relative to the lowest polymorph listed for this composition = 0 meV/atom
SG = P4/mmm (123)
theoretical density = 9.1 g/cm³

```
NbAl2Os
1.0
3.0000 0.0000 0.0000
0.0000 3.0000 0.0000
0.0000 0.0000 6.8180
Nb Al Os
1 2 1
Direct
0.0000 0.0000 0.0000
0.5000 0.5000 0.2873
0.5000 0.5000 0.7127
0.0000 0.0000 0.5000
```


Entry 5:
This record from Alexandria describes a geometry-optimized NbAl2Os2 structure. The functional is GGA-PBE.

M_tot = 0.0 Bohr magnetons per cell
energy relative to the lowest polymorph listed for this composition = 28 meV/atom
SG = P4/mbm (127)
theoretical density = 11.6 g/cm³

```
NbAl2Os2
1.0
7.2499 0.0000 0.0000
0.0000 7.2499 0.0000
0.0000 0.0000 2.8741
Nb Al Os
2 4 4
Direct
0.0000 0.0000 0.0000
0.5000 0.5000 0.0000
0.1245 0.3755 0.0000
0.3755 0.8755 0.0000
0.6245 0.1245 0.0000
0.8755 0.6245 0.0000
0.1742 0.6742 0.5000
0.3258 0.1742 0.5000
0.6742 0.8258 0.5000
0.8258 0.3258 0.5000
```


Entry 6:
This record from Alexandria describes a geometry-optimized Nb14AlOs structure. The functional is GGA-PBE.

M_tot = 0.0 Bohr magnetons per cell
SG = Cmmm (65)
theoretical density = 8.8 g/cm³

```
Nb14AlOs
1.0
3.3337 -4.6084 0.0000
3.3337 4.6084 0.0000
0.0000 0.0000 9.2734
Nb Al Os
14 1 1
Direct
0.0000 0.0000 0.0000
0.0000 0.5000 0.0000
0.0000 0.5000 0.5000
0.2445 0.7555 0.2566
0.2445 0.7555 0.7434
0.2599 0.2599 0.2566
0.2599 0.2599 0.7434
0.5000 0.0000 0.0000
0.5000 0.0000 0.5000
0.5000 0.5000 0.0000
0.7401 0.7401 0.2566
0.7401 0.7401 0.7434
0.7555 0.2445 0.2566
0.7555 0.2445 0.7434
0.0000 0.0000 0.5000
0.5000 0.5000 0.5000
```


Entry 7:
This record from Alexandria describes a geometry-optimized NbAl4Os structure. The functional is GGA-PBE.

M_tot = 0.0 Bohr magnetons per cell
SG = P2_1/c (14)
theoretical density = 6.9 g/cm³

```
NbAl4Os
1.0
5.5384 0.0000 0.0000
0.0000 7.3615 0.0000
-0.9651 0.0000 4.6241
Nb Al Os
2 8 2
Direct
0.0000 0.0000 0.0000
0.0000 0.5000 0.5000
0.2051 0.1700 0.5719
0.2051 0.3300 0.0719
0.3160 0.6648 0.9882
0.3160 0.8352 0.4882
0.6840 0.1648 0.5118
0.6840 0.3352 0.0118
0.7949 0.6700 0.9281
0.7949 0.8300 0.4281
0.5000 0.0000 0.0000
0.5000 0.5000 0.5000
```


Entry 8:
This record from Alexandria describes a geometry-optimized NbAl2Os2 structure. The functional is GGA-PBE.

M_tot = 0.0 Bohr magnetons per cell
energy relative to the lowest polymorph listed for this composition = 80 meV/atom
SG = P4/mbm (127)
theoretical density = 11.3 g/cm³

```
NbAl2Os2
1.0
7.1617 0.0000 0.0000
0.0000 7.1617 0.0000
0.0000 0.0000 3.0231
Nb Al Os
2 4 4
Direct
0.0000 0.0000 0.0000
0.5000 0.5000 0.0000
0.1490 0.3510 0.5000
0.3510 0.8510 0.5000
0.6490 0.1490 0.5000
0.8510 0.6490 0.5000
0.1476 0.6476 0.0000
0.3524 0.1476 0.0000
0.6476 0.8524 0.0000
0.8524 0.3524 0.0000
```


Entry 9:
This record from Alexandria describes a geometry-optimized NbAlPOs2 structure. The functional is GGA-PBE.

M_tot = 0.0 Bohr magnetons per cell
SG = P4/mmm (123)
theoretical density = 8.3 g/cm³

```
NbAlPOs2
1.0
4.8166 0.0000 0.0000
0.0000 4.8166 0.0000
0.0000 0.0000 4.6051
Nb Al P Os
1 1 1 2
Direct
0.0000 0.0000 0.0000
0.5000 0.5000 0.5000
0.0000 0.0000 0.5000
0.0000 0.5000 0.0000
0.5000 0.0000 0.0000
```


Entry 10:
This record from Alexandria describes a geometry-optimized Pa2NbAl2Os5 structure. The functional is GGA-PBE.

M_tot = 0.0 Bohr magnetons per cell
SG = P4/mbm (127)
theoretical density = 15.0 g/cm³

```
Pa2NbAl2Os5
1.0
9.9295 0.0000 0.0000
0.0000 9.9295 0.0000
0.0000 0.0000 3.5122
Pa Nb Al Os
4 2 4 10
Direct
0.1745 0.3255 0.0000
0.3255 0.8255 0.0000
0.6745 0.1745 0.0000
0.8255 0.6745 0.0000
0.0000 0.0000 0.0000
0.5000 0.5000 0.0000
0.1229 0.6229 0.0000
0.3771 0.1229 0.0000
0.6229 0.8771 0.0000
0.8771 0.3771 0.0000
0.0000 0.5000 0.5000
0.0726 0.7948 0.5000
0.2052 0.0726 0.5000
0.2948 0.5726 0.5000
0.4274 0.2948 0.5000
0.5000 0.0000 0.5000
0.5726 0.7052 0.5000
0.7052 0.4274 0.5000
0.7948 0.9274 0.5000
0.9274 0.2052 0.5000
```


Entry 11:
This record from Alexandria describes a geometry-optimized NbAlOsPd structure. The functional is GGA-PBE.

M_tot = 0.0 Bohr magnetons per cell
SG = F-43m (216)
theoretical density = 11.1 g/cm³

```
NbAlOsPd
1.0
0.0000 3.1468 3.1468
3.1468 0.0000 3.1468
3.1468 3.1468 0.0000
Nb Al Os Pd
1 1 1 1
Direct
0.0000 0.0000 0.0000
0.5000 0.5000 0.5000
0.2500 0.2500 0.2500
0.7500 0.7500 0.7500
```


Entry 12:
This record from Alexandria describes a geometry-optimized NbAlOs2Pd structure. The functional is GGA-PBE.

M_tot = 0.9 Bohr magnetons per cell
SG = P4/mmm (123)
theoretical density = 9.6 g/cm³

```
NbAlOs2Pd
1.0
4.7636 0.0000 0.0000
0.0000 4.7636 0.0000
0.0000 0.0000 4.6461
Nb Al Os Pd
1 1 2 1
Direct
0.0000 0.0000 0.0000
0.5000 0.5000 0.0000
0.0000 0.5000 0.5000
0.5000 0.0000 0.5000
0.0000 0.0000 0.5000
```


Entry 13:
This record from Alexandria describes a geometry-optimized Rb2NbAlOs structure. The functional is GGA-PBE.

M_tot = 6.6 Bohr magnetons per cell
SG = P4/mmm (123)
theoretical density = 3.7 g/cm³

```
Rb2NbAlOs
1.0
6.4781 0.0000 0.0000
0.0000 6.4781 0.0000
0.0000 0.0000 5.1571
Rb Nb Al Os
2 1 1 1
Direct
0.0000 0.5000 0.0000
0.5000 0.0000 0.0000
0.0000 0.0000 0.0000
0.0000 0.0000 0.5000
0.5000 0.5000 0.5000
```


Entry 14:
This record from Alexandria describes a geometry-optimized NbAlReOs2 structure. The functional is GGA-PBE.

M_tot = 0.9 Bohr magnetons per cell
SG = P4/mmm (123)
theoretical density = 10.7 g/cm³

```
NbAlReOs2
1.0
4.7380 0.0000 0.0000
0.0000 4.7380 0.0000
0.0000 0.0000 4.7432
Nb Al Re Os
1 1 1 2
Direct
0.0000 0.0000 0.0000
0.5000 0.5000 0.5000
0.0000 0.0000 0.5000
0.0000 0.5000 0.0000
0.5000 0.0000 0.0000
```


Entry 15:
This record from Alexandria describes a geometry-optimized NbAl2OsRu structure. The functional is GGA-PBE.

M_tot = 0.0 Bohr magnetons per cell
SG = P4/mmm (123)
theoretical density = 7.6 g/cm³

```
NbAl2OsRu
1.0
4.4601 0.0000 0.0000
0.0000 4.4601 0.0000
0.0000 0.0000 4.7850
Nb Al Os Ru
1 2 1 1
Direct
0.0000 0.0000 0.0000
0.0000 0.5000 0.5000
0.5000 0.0000 0.5000
0.5000 0.5000 0.0000
0.0000 0.0000 0.5000
```


Entry 16:
This record from Alexandria describes a geometry-optimized Sr2NbAlOs structure. The functional is GGA-PBE.

M_tot = 0.9 Bohr magnetons per cell
SG = P4/mmm (123)
theoretical density = 4.8 g/cm³

```
Sr2NbAlOs
1.0
5.9130 0.0000 0.0000
0.0000 5.9130 0.0000
0.0000 0.0000 4.7670
Sr Nb Al Os
2 1 1 1
Direct
0.0000 0.5000 0.0000
0.5000 0.0000 0.0000
0.0000 0.0000 0.5000
0.5000 0.5000 0.5000
0.0000 0.0000 0.0000
```


Entry 17:
This record from Alexandria describes a geometry-optimized TiNbAlOs structure. The functional is GGA-PBE.

M_tot = 1.8 Bohr magnetons per cell
SG = F-43m (216)
theoretical density = 9.4 g/cm³

```
TiNbAlOs
1.0
0.0000 3.1603 3.1603
3.1603 0.0000 3.1603
3.1603 3.1603 0.0000
Ti Nb Al Os
1 1 1 1
Direct
0.0000 0.0000 0.0000
0.7500 0.7500 0.7500
0.2500 0.2500 0.2500
0.5000 0.5000 0.5000
```


Entry 18:
This record from Alexandria describes a geometry-optimized Ti5NbAl2Os2 structure. The functional is GGA-PBE.

M_tot = 0.0 Bohr magnetons per cell
SG = P4/mbm (127)
theoretical density = 7.7 g/cm³

```
Ti5NbAl2Os2
1.0
8.8468 0.0000 0.0000
0.0000 8.8468 0.0000
0.0000 0.0000 4.2447
Ti Nb Al Os
10 2 4 4
Direct
0.0000 0.5000 0.0000
0.0859 0.1992 0.0000
0.1992 0.9141 0.0000
0.3008 0.4141 0.0000
0.4141 0.6992 0.0000
0.5000 0.0000 0.0000
0.5859 0.3008 0.0000
0.6992 0.5859 0.0000
0.8008 0.0859 0.0000
0.9141 0.8008 0.0000
0.0000 0.0000 0.5000
0.5000 0.5000 0.5000
0.1716 0.6716 0.5000
0.3284 0.1716 0.5000
0.6716 0.8284 0.5000
0.8284 0.3284 0.5000
0.1232 0.3768 0.5000
0.3768 0.8768 0.5000
0.6232 0.1232 0.5000
0.8768 0.6232 0.5000
```


Entry 19:
This record from Alexandria describes a geometry-optimized Nb2AlTlOs structure. The functional is GGA-PBE.

M_tot = 0.0 Bohr magnetons per cell
energy relative to the lowest polymorph listed for this composition = 0 meV/atom
SG = P4/mmm (123)
theoretical density = 8.8 g/cm³

```
Nb2AlTlOs
1.0
4.9218 0.0000 0.0000
0.0000 4.9218 0.0000
0.0000 0.0000 4.7186
Nb Al Tl Os
2 1 1 1
Direct
0.0000 0.5000 0.0000
0.5000 0.0000 0.0000
0.0000 0.0000 0.5000
0.5000 0.5000 0.5000
0.0000 0.0000 0.0000
```


Entry 20:
This record from Alexandria describes a geometry-optimized Nb2AlTlOs structure. The functional is GGA-PBE.

M_tot = 0.0 Bohr magnetons per cell
energy relative to the lowest polymorph listed for this composition = 1636 meV/atom
SG = P4/mmm (123)
theoretical density = 8.6 g/cm³

```
Nb2AlTlOs
1.0
5.0858 0.0000 0.0000
0.0000 5.0858 0.0000
0.0000 0.0000 4.5518
Nb Al Tl Os
2 1 1 1
Direct
0.0000 0.5000 0.0000
0.5000 0.0000 0.0000
0.0000 0.0000 0.5000
0.0000 0.0000 0.0000
0.5000 0.5000 0.5000
```


Entry 21:
This record from Alexandria describes a geometry-optimized Nb2AlV2Os5 structure. The functional is GGA-PBE.

M_tot = 0.0 Bohr magnetons per cell
SG = P4/mbm (127)
theoretical density = 13.6 g/cm³

```
Nb2AlV2Os5
1.0
8.9103 0.0000 0.0000
0.0000 8.9103 0.0000
0.0000 0.0000 3.8899
Nb Al V Os
4 2 4 10
Direct
0.1826 0.3174 0.0000
0.3174 0.8174 0.0000
0.6826 0.1826 0.0000
0.8174 0.6826 0.0000
0.0000 0.0000 0.0000
0.5000 0.5000 0.0000
0.1195 0.6195 0.0000
0.3805 0.1195 0.0000
0.6195 0.8805 0.0000
0.8805 0.3805 0.0000
0.0000 0.5000 0.5000
0.0587 0.7994 0.5000
0.2006 0.0587 0.5000
0.2994 0.5587 0.5000
0.4413 0.2994 0.5000
0.5000 0.0000 0.5000
0.5587 0.7006 0.5000
0.7006 0.4413 0.5000
0.7994 0.9413 0.5000
0.9413 0.2006 0.5000
```


Entry 22:
This record from Alexandria describes a geometry-optimized NbAlVOs structure. The functional is GGA-PBE.

M_tot = 2.8 Bohr magnetons per cell
SG = F-43m (216)
theoretical density = 9.8 g/cm³

```
NbAlVOs
1.0
0.0000 3.1316 3.1316
3.1316 0.0000 3.1316
3.1316 3.1316 0.0000
Nb Al V Os
1 1 1 1
Direct
0.0000 0.0000 0.0000
0.5000 0.5000 0.5000
0.7500 0.7500 0.7500
0.2500 0.2500 0.2500
```


Entry 23:
This record from Alexandria describes a geometry-optimized NbAlOs2W structure. The functional is GGA-PBE.

M_tot = 0.0 Bohr magnetons per cell
SG = P4/mmm (123)
theoretical density = 10.6 g/cm³

```
NbAlOs2W
1.0
4.7244 0.0000 0.0000
0.0000 4.7244 0.0000
0.0000 0.0000 4.8102
Nb Al Os W
1 1 2 1
Direct
0.0000 0.0000 0.0000
0.5000 0.5000 0.0000
0.0000 0.5000 0.5000
0.5000 0.0000 0.5000
0.0000 0.0000 0.5000
```


Entry 24:
This record from Alexandria describes a geometry-optimized NbAlOsW structure. The functional is GGA-PBE.

M_tot = 0.0 Bohr magnetons per cell
SG = F-43m (216)
theoretical density = 13.1 g/cm³

```
NbAlOsW
1.0
0.0000 3.1555 3.1555
3.1555 0.0000 3.1555
3.1555 3.1555 0.0000
Nb Al Os W
1 1 1 1
Direct
0.0000 0.0000 0.0000
0.5000 0.5000 0.5000
0.7500 0.7500 0.7500
0.2500 0.2500 0.2500
```


Entry 25:
This record from Alexandria describes a geometry-optimized Nb2AlP structure. The functional is GGA-PBE.

M_tot = 0.0 Bohr magnetons per cell
energy relative to the lowest polymorph listed for this composition = 0 meV/atom
SG = R-3m (166)
theoretical density = 5.7 g/cm³

```
Nb2AlP
1.0
1.7693 1.0215 6.5062
-1.7693 1.0215 6.5062
0.0000 -2.0430 6.5062
Nb Al P
2 1 1
Direct
0.2350 0.2350 0.2350
0.7650 0.7650 0.7650
0.0000 0.0000 0.0000
0.5000 0.5000 0.5000
```


DOS(E_F): 5.45 1.45 4.46 3.28 10.59 16.10 8.13 5.32 4.92 12.67 2.35 6.10 14.05 5.49 5.80 5.84 5.31 19.45 3.68 4.82 18.90 2.60 5.30 4.41 2.72 (states/eV/cell)
E_form: 2.167 -0.359 0.186 -0.349 -0.199 -0.111 -0.188 -0.147 1.693 -0.258 -0.386 2.003 2.305 2.226 0.917 0.766 -0.352 -0.177 0.705 2.341 -0.018 -0.328 1.797 -0.079 -0.349 (eV/atom)
V: 106 47 137 61 151 285 189 155 107 346 62 105 216 106 95 167 63 332 114 118 309 61 107 63 71 (Å³/cell)